Entry 1:
The following is a PBE calculation of a geometry-optimized YFeMo2 structure, from Alexandria.

Output
* polymorph energy (0 for the lowest one): 0.000 eV/atom
* formation energy: 23 kJ per mole of atoms
* energy: -35.6 eV per formula unit
* magnetic moment: 1.66 μB per cell
* space group: P4mm, No. 99

Cell: 3.2018 3.2018 6.9337 Å, 90.00 90.00 90.01°
Fractional coordinates of all 4 atoms:
Fe: 0.5000 0.5000 0.7971
Mo: 0.0000 0.0000 0.9954
Mo: 0.5000 0.5000 0.2004
Y: 0.0000 0.0000 0.5070

Entry 2:
The following is a PBE calculation of a geometry-optimized YFe2Mo structure, from Alexandria.

Output
* polymorph energy (0 for the lowest one): 0.140 eV/atom
* formation energy: 30 kJ per mole of atoms
* energy: -33.0 eV per formula unit
* magnetic moment: 2.48 μB per cell
* space group: Amm2, No. 38

Cell: 4.0576 3.2126 5.4842 Å, 73.00 90.00 90.00°
Fractional coordinates of all 4 atoms:
Fe: 0.0000 0.1696 0.0354
Fe: 0.5000 0.0467 0.2824
Mo: 0.0000 0.4999 0.3754
Y: 0.5000 0.7838 0.8068

Entry 3:
The following is a PBE calculation of a geometry-optimized YFeMo2 structure, from Alexandria.

Output
* polymorph energy (0 for the lowest one): 0.166 eV/atom
* formation energy: 39 kJ per mole of atoms
* energy: -35.0 eV per formula unit
* magnetic moment: 1.41 μB per cell
* space group: Cm, No. 8

Cell: 4.9399 4.9399 5.2422 Å, 70.22 70.22 38.40°
Fractional coordinates of all 4 atoms:
Fe: 0.2763 0.2763 0.1640
Mo: 0.9951 0.9951 0.0093
Mo: 0.7205 0.7205 0.8338
Y: 0.5081 0.5081 0.4929

Entry 4:
The following is a PBE calculation of a geometry-optimized YFeMo2 structure, from Alexandria.

Output
* polymorph energy (0 for the lowest one): 0.115 eV/atom
* formation energy: 35 kJ per mole of atoms
* energy: -35.2 eV per formula unit
* magnetic moment: 1.36 μB per cell
* space group: F-43m, No. 216

Cell: 4.5840 4.5840 4.5840 Å, 60.00 60.00 60.00°
Fractional coordinates of all 4 atoms:
Fe: 0.5000 0.5000 0.5000
Mo: 0.0000 0.0000 0.0000
Mo: 0.2500 0.2500 0.2500
Y: 0.7500 0.7500 0.7500

Entry 5:
The following is a PBE calculation of a geometry-optimized YFe3Mo structure, from Alexandria.

Output
* polymorph energy (0 for the lowest one): 0.000 eV/atom
* formation energy: 79 kJ per mole of atoms
* energy: -38.6 eV per formula unit
* magnetic moment: 3.95 μB per cell
* space group: Pm-3m, No. 221

Cell: 4.5159 4.5159 4.5159 Å, 90.00 90.00 90.00°
Fractional coordinates of all 5 atoms:
Y: 0.5000 0.5000 0.5000
Mo: 0.0000 0.0000 0.0000
Fe: 0.0000 0.5000 0.0000
Fe: 0.0000 0.0000 0.5000
Fe: 0.5000 0.0000 0.0000

Entry 6:
The following is a PBE calculation of a geometry-optimized YFeMo2 structure, from Alexandria.

Output
* polymorph energy (0 for the lowest one): 0.244 eV/atom
* formation energy: 47 kJ per mole of atoms
* energy: -34.6 eV per formula unit
* magnetic moment: 1.57 μB per cell
* space group: P2/m, No. 10

Cell: 4.7438 2.8873 5.1235 Å, 79.60 90.00 90.00°
Fractional coordinates of all 4 atoms:
Fe: 0.5000 0.7500 0.7500
Mo: 0.0000 0.9657 0.9930
Mo: 0.0000 0.5343 0.5070
Y: 0.5000 0.2500 0.2500

Entry 7:
The following is a PBE calculation of a geometry-optimized YFe2Mo structure, from Alexandria.

Output
* polymorph energy (0 for the lowest one): 0.282 eV/atom
* formation energy: 44 kJ per mole of atoms
* energy: -32.4 eV per formula unit
* magnetic moment: 2.92 μB per cell
* space group: F-43m, No. 216

Cell: 4.4670 4.4670 4.4670 Å, 60.00 60.00 60.00°
Fractional coordinates of all 4 atoms:
Fe: 0.0000 0.0000 0.0000
Fe: 0.2500 0.2500 0.2500
Mo: 0.5000 0.5000 0.5000
Y: 0.7500 0.7500 0.7500

Entry 8:
The following is a PBE calculation of a geometry-optimized YFe10Mo structure, from Alexandria.

Output
* formation energy: 12 kJ per mole of atoms
* energy: -100.4 eV per formula unit
* magnetic moment: 16.23 μB per cell
* space group: Pmmm, No. 47

Cell: 3.9905 4.8020 8.2840 Å, 90.00 90.00 90.00°
Fractional coordinates of all 12 atoms:
Y: 0.0000 0.0000 0.0000
Fe: 0.0000 0.0000 0.3463
Fe: 0.0000 0.5000 0.8129
Fe: 0.0000 0.5000 0.1871
Fe: 0.0000 0.0000 0.6537
Fe: 0.5000 0.0000 0.5000
Fe: 0.5000 0.5000 0.0000
Fe: 0.5000 0.2540 0.2616
Fe: 0.5000 0.7460 0.7384
Fe: 0.5000 0.7460 0.2616
Fe: 0.5000 0.2540 0.7384
Mo: 0.0000 0.5000 0.5000